# SrTl7In4 GGA-PBE optimized geometry
data_SrTl7In4
_chemical_formula_sum 'Sr2 Tl14 In8'
_cell_length_a 13.473
_cell_length_b 6.459
_cell_length_c 10.042
_cell_angle_alpha 90.00
_cell_angle_beta 119.71
_cell_angle_gamma 90.00
_symmetry_space_group_name_H-M 'C 1 2/m 1'
_symmetry_Int_Tables_number 12
loop_
_symmetry_equiv_pos_as_xyz
'x,y,z'
'-x,-y,-z'
'-x,y,-z'
'x,-y,z'
'x+1/2,y+1/2,z'
'-x+1/2,-y+1/2,-z'
'-x+1/2,y+1/2,-z'
'x+1/2,-y+1/2,z'
loop_
_atom_site_label
_atom_site_type_symbol
_atom_site_fract_x
_atom_site_fract_y
_atom_site_fract_z
Sr1 Sr 0.000 0.000 0.000
Tl1 Tl 0.000 0.500 0.000
Tl2 Tl 0.003 0.000 0.345
Tl3 Tl 0.235 0.500 0.651
Tl4 Tl 0.237 0.500 0.994
In1 In 0.003 0.500 0.328
In2 In 0.238 0.500 0.323
# Raw total energy: -0.177 Ry/atom
# Energy of formation from the pure elements: 0.019 eV/atom